No. 1
# MgNiBi2

An optimized crystal structure of MgNiBi2 (PBE, Alexandria via LeMat-Bulk).

Output
The density of states at the Fermi level comes out at 1.51 states/eV/cell. The total magnetization comes out at 0.00 Bohr magnetons per cell. As for the formation energy: -0.001 eV per atom.

a b c (Å): 6.899 6.899 6.899
angles (deg): 97.58 97.58 137.42
Atoms (fractional coordinates):
Mg: 0.000 0.000 0.000
Mg: 0.750 0.250 0.500
Ni: 0.250 0.750 0.500
Ni: 0.500 0.500 0.000
Bi: 0.243 0.625 0.118
Bi: 0.375 0.493 0.618
Bi: 0.507 0.125 0.882
Bi: 0.875 0.757 0.382



No. 2
# NdSm2Ni2

An optimized crystal structure of NdSm2Ni2 (PBE, Alexandria via LeMat-Bulk).

Output
The density of states at the Fermi level comes out at 4.85 states/eV/cell. The total magnetization comes out at 0.00 Bohr magnetons per cell. As for the formation energy: -0.259 eV per atom.

a b c (Å): 7.517 7.517 3.790
angles (deg): 90.00 90.00 145.65
Atoms (fractional coordinates):
Nd: 0.000 0.000 0.000
Sm: 0.348 0.652 0.500
Sm: 0.652 0.348 0.500
Ni: 0.201 0.799 0.000
Ni: 0.799 0.201 0.000